The following is a PBE calculation of ScBiPb2O6 after structural relaxation, from the Alexandria database.

The energy comes out at -126.9 eV per cell. As for the magnetization: 0.0 μB/cell. Its uncorrected formation energy is -155.1 kJ/mol of atoms. The calculation puts the volume at 145.9 Å³/f.u. Its space-group type is P2_1/c.

a = 5.884 Å, b = 5.930 Å, c = 10.222 Å
α = 90.00°, β = 125.09°, γ = 90.00°
Fractional positions:
Sc  0.000  0.000  0.000
Sc  0.000  0.500  0.500
Bi  0.500  0.000  0.500
Bi  0.500  0.500  0.000
Pb  0.245  0.029  0.750
Pb  0.245  0.471  0.250
Pb  0.755  0.529  0.750
Pb  0.755  0.971  0.250
O  0.172  0.213  0.462
O  0.172  0.287  0.962
O  0.252  0.710  0.462
O  0.252  0.790  0.962
O  0.324  0.017  0.249
O  0.324  0.483  0.749
O  0.676  0.517  0.251
O  0.676  0.983  0.751
O  0.748  0.210  0.038
O  0.748  0.290  0.538
O  0.828  0.713  0.038
O  0.828  0.787  0.538

---

The following is a PBE calculation of ScBi2PbO6 after structural relaxation, from the Alexandria database.

The energy comes out at -64.1 eV per cell. As for the magnetization: 0.9 μB/cell. Its uncorrected formation energy is -159.6 kJ/mol of atoms. The calculation puts the volume at 156.1 Å³/f.u. Its space-group type is R3.

a = 6.110 Å, b = 6.110 Å, c = 6.110 Å
α = 58.61°, β = 58.61°, γ = 58.61°
Fractional positions:
Sc  0.000  0.000  0.000
Bi  0.291  0.291  0.291
Bi  0.786  0.786  0.786
Pb  0.509  0.509  0.509
O  0.127  0.709  0.337
O  0.168  0.640  0.882
O  0.337  0.127  0.709
O  0.640  0.882  0.168
O  0.709  0.337  0.127
O  0.882  0.168  0.640

---

The following is a PBE calculation of SmBiPb2O6 after structural relaxation, from the Alexandria database.

The energy comes out at -123.5 eV per cell. As for the magnetization: 0.0 μB/cell. Its uncorrected formation energy is -154.2 kJ/mol of atoms. The calculation puts the volume at 160.7 Å³/f.u. Its space-group type is P2_1/c.

a = 6.002 Å, b = 6.191 Å, c = 10.505 Å
α = 90.00°, β = 124.58°, γ = 90.00°
Fractional positions:
Sm  0.000  0.000  0.000
Sm  0.000  0.500  0.500
Bi  0.500  0.000  0.500
Bi  0.500  0.500  0.000
Pb  0.244  0.036  0.750
Pb  0.244  0.464  0.250
Pb  0.756  0.536  0.750
Pb  0.756  0.964  0.250
O  0.160  0.189  0.454
O  0.160  0.311  0.954
O  0.270  0.709  0.452
O  0.270  0.791  0.952
O  0.359  0.029  0.260
O  0.359  0.471  0.760
O  0.641  0.529  0.240
O  0.641  0.971  0.740
O  0.730  0.209  0.048
O  0.730  0.291  0.548
O  0.840  0.689  0.046
O  0.840  0.811  0.546

---

The following is a PBE calculation of SnBi2PbO6 after structural relaxation, from the Alexandria database.

The energy comes out at -57.9 eV per cell. As for the magnetization: 0.0 μB/cell. Its uncorrected formation energy is -122.6 kJ/mol of atoms. The calculation puts the volume at 163.9 Å³/f.u. Its space-group type is P1.

a = 6.028 Å, b = 6.033 Å, c = 6.256 Å
α = 61.22°, β = 61.24°, γ = 60.04°
Fractional positions:
Sn  0.000  0.000  0.000
Bi  0.206  0.206  0.380
Bi  0.700  0.701  0.898
Pb  0.480  0.481  0.557
O  0.083  0.843  0.711
O  0.270  0.657  0.181
O  0.364  0.082  0.711
O  0.657  0.891  0.181
O  0.843  0.364  0.711
O  0.892  0.270  0.182

---

The following is a PBE calculation of SnBiPbO6 after structural relaxation, from the Alexandria database.

The energy comes out at -102.3 eV per cell. As for the magnetization: 0.0 μB/cell. Its uncorrected formation energy is -105.2 kJ/mol of atoms. The calculation puts the volume at 128.4 Å³/f.u. Its space-group type is P-31c.

a = 5.587 Å, b = 5.587 Å, c = 9.498 Å
α = 90.00°, β = 90.00°, γ = 120.00°
Fractional positions:
Sn  0.333  0.667  0.250
Sn  0.667  0.333  0.750
Bi  0.000  0.000  0.000
Bi  0.000  0.000  0.500
Pb  0.333  0.667  0.750
Pb  0.667  0.333  0.250
O  0.014  0.352  0.131
O  0.014  0.662  0.369
O  0.338  0.352  0.369
O  0.338  0.986  0.131
O  0.352  0.014  0.631
O  0.352  0.338  0.869
O  0.648  0.662  0.131
O  0.648  0.986  0.369
O  0.662  0.014  0.869
O  0.662  0.648  0.631
O  0.986  0.338  0.631
O  0.986  0.648  0.869

---

The following is a PBE calculation of Sn2BiPbO after structural relaxation, from the Alexandria database.

The energy comes out at -19.4 eV per cell. As for the magnetization: 0.0 μB/cell. Its uncorrected formation energy is 21.4 kJ/mol of atoms. The calculation puts the volume at 148.7 Å³/f.u. Its space-group type is P4/mmm.

a = 5.933 Å, b = 5.933 Å, c = 4.225 Å
α = 90.00°, β = 90.00°, γ = 90.00°
Fractional positions:
Sn  0.000  0.500  0.000
Sn  0.500  0.000  0.000
Bi  0.000  0.000  0.500
Pb  0.500  0.500  0.000
O  0.500  0.500  0.500

---

The following is a PBE calculation of Sr2BiPbO4 after structural relaxation, from the Alexandria database.

The energy comes out at -89.3 eV per cell. As for the magnetization: 0.0 μB/cell. Its uncorrected formation energy is -166.9 kJ/mol of atoms. The calculation puts the volume at 148.6 Å³/f.u. Its space-group type is C2/c.

a = 7.092 Å, b = 7.092 Å, c = 7.451 Å
α = 115.47°, β = 115.47°, γ = 90.13°
Fractional positions:
Sr  0.000  0.000  0.000
Sr  0.000  0.000  0.500
Sr  0.000  0.500  0.000
Sr  0.500  0.000  0.500
Bi  0.500  0.500  0.000
Bi  0.500  0.500  0.500
Pb  0.000  0.500  0.500
Pb  0.500  0.000  0.000
O  0.214  0.219  0.912
O  0.219  0.214  0.412
O  0.245  0.732  0.471
O  0.268  0.755  0.029
O  0.732  0.245  0.971
O  0.755  0.268  0.529
O  0.781  0.786  0.588
O  0.786  0.781  0.088

---

The following is a PBE calculation of SrBi2PbO6 after structural relaxation, from the Alexandria database.

The energy comes out at -57.5 eV per cell. As for the magnetization: 0.0 μB/cell. Its uncorrected formation energy is -140.8 kJ/mol of atoms. The calculation puts the volume at 168.3 Å³/f.u. Its space-group type is R3.

a = 6.284 Å, b = 6.284 Å, c = 6.284 Å
α = 58.20°, β = 58.20°, γ = 58.20°
Fractional positions:
Sr  0.000  0.000  0.000
Bi  0.221  0.221  0.221
Bi  0.720  0.720  0.720
Pb  0.512  0.512  0.512
O  0.159  0.396  0.807
O  0.357  0.888  0.604
O  0.396  0.807  0.159
O  0.604  0.357  0.888
O  0.807  0.159  0.396
O  0.888  0.604  0.357

---

The following is a PBE calculation of Sr2BiPbO6 after structural relaxation, from the Alexandria database.

The energy comes out at -117.1 eV per cell. As for the magnetization: 0.0 μB/cell. Its uncorrected formation energy is -172.3 kJ/mol of atoms. The calculation puts the volume at 157.3 Å³/f.u. Its space-group type is P2_1/c.

a = 5.987 Å, b = 6.149 Å, c = 10.428 Å
α = 90.00°, β = 124.98°, γ = 90.00°
Fractional positions:
Sr  0.236  0.049  0.250
Sr  0.236  0.451  0.750
Sr  0.764  0.549  0.250
Sr  0.764  0.951  0.750
Bi  0.500  0.000  0.000
Bi  0.500  0.500  0.500
Pb  0.000  0.000  0.500
Pb  0.000  0.500  0.000
O  0.151  0.206  0.946
O  0.151  0.294  0.446
O  0.242  0.707  0.945
O  0.242  0.793  0.445
O  0.353  0.041  0.751
O  0.353  0.459  0.251
O  0.647  0.541  0.749
O  0.647  0.959  0.249
O  0.758  0.207  0.555
O  0.758  0.293  0.055
O  0.849  0.706  0.554
O  0.849  0.794  0.054

---

The following is a PBE calculation of SrBiPb2O6 after structural relaxation, from the Alexandria database.

The energy comes out at -112.1 eV per cell. As for the magnetization: 0.0 μB/cell. Its uncorrected formation energy is -128.4 kJ/mol of atoms. The calculation puts the volume at 165.7 Å³/f.u. Its space-group type is P2_1/c.

a = 5.912 Å, b = 6.453 Å, c = 10.456 Å
α = 90.00°, β = 123.80°, γ = 90.00°
Fractional positions:
Sr  0.000  0.000  0.000
Sr  0.000  0.500  0.500
Bi  0.500  0.000  0.500
Bi  0.500  0.500  0.000
Pb  0.215  0.040  0.723
Pb  0.215  0.460  0.223
Pb  0.785  0.540  0.777
Pb  0.785  0.960  0.277
O  0.155  0.160  0.473
O  0.155  0.340  0.973
O  0.222  0.740  0.394
O  0.222  0.760  0.894
O  0.412  0.096  0.277
O  0.412  0.404  0.777
O  0.588  0.596  0.223
O  0.588  0.904  0.723
O  0.778  0.240  0.106
O  0.778  0.260  0.606
O  0.845  0.660  0.027
O  0.845  0.840  0.527

---

The following is a PBE calculation of TaBiPb2O6 after structural relaxation, from the Alexandria database.

The energy comes out at -140.8 eV per cell. As for the magnetization: 0.0 μB/cell. Its uncorrected formation energy is -168.8 kJ/mol of atoms. The calculation puts the volume at 153.3 Å³/f.u. Its space-group type is P2_1/c.

a = 5.926 Å, b = 6.085 Å, c = 10.340 Å
α = 90.00°, β = 124.68°, γ = 90.00°
Fractional positions:
Ta  0.000  0.000  0.000
Ta  0.000  0.500  0.500
Bi  0.500  0.000  0.500
Bi  0.500  0.500  0.000
Pb  0.258  0.034  0.752
Pb  0.258  0.466  0.252
Pb  0.742  0.534  0.748
Pb  0.742  0.966  0.248
O  0.134  0.029  0.228
O  0.134  0.471  0.728
O  0.224  0.723  0.050
O  0.224  0.777  0.550
O  0.323  0.180  0.044
O  0.323  0.320  0.544
O  0.677  0.680  0.456
O  0.677  0.820  0.956
O  0.776  0.223  0.450
O  0.776  0.277  0.950
O  0.866  0.529  0.272
O  0.866  0.971  0.772

---

The following is a PBE calculation of TaBi2PbO6 after structural relaxation, from the Alexandria database.

The energy comes out at -69.1 eV per cell. As for the magnetization: 0.7 μB/cell. Its uncorrected formation energy is -154.9 kJ/mol of atoms. The calculation puts the volume at 160.5 Å³/f.u. Its space-group type is R3.

a = 5.966 Å, b = 5.966 Å, c = 5.966 Å
α = 63.10°, β = 63.10°, γ = 63.10°
Fractional positions:
Ta  0.000  0.000  0.000
Bi  0.243  0.243  0.243
Bi  0.775  0.775  0.775
Pb  0.489  0.489  0.489
O  0.081  0.776  0.325
O  0.143  0.643  0.900
O  0.325  0.081  0.776
O  0.643  0.900  0.143
O  0.776  0.325  0.081
O  0.900  0.143  0.643

---

Q: Among the records above, which one has the highest magnetization?
A: ScBi2PbO6

---

Q: Look up the magnetization of the sixth one.
A: 0.0 μB/cell